The following is a DFT calculation (GGA-PBE) of an optimized crystal structure of Zn2CrPt.

The space group is R-3m (No. 166, hexagonal axes) and the conventional cell measures 2.7361, 2.7361 and 26.0364 Å, with angles of 90.00, 90.00 and 120.00 degrees. The inequivalent atoms are Zn at (0.0000, 0.0000, 0.2477), Cr at (0.0000, 0.0000, 0.5000) and Pt at (0.0000, 0.0000, 0.0000).

Its electronic total energy is -54.59 eV/cell. Its crystal system is trigonal. The formation energy is 0.4 kJ per mole of atoms. For the volume, the calculation gives 14.1 A^3/atom.

***

The following is a DFT calculation (GGA-PBE) of an optimized crystal structure of CsFeNi2.

The space group is I4_1/amd (No. 141, origin choice 2) and the conventional cell measures 5.0835, 5.0835 and 15.6017 Å, with angles of 90.00, 90.00 and 90.00 degrees. The inequivalent atoms are Cs at (0.0000, 0.2500, 0.3750), Fe at (0.0000, 0.2500, 0.8750) and Ni at (0.0000, 0.0000, 0.0000).

Its electronic total energy is -69.26 eV/cell. Its crystal system is tetragonal. The formation energy is 86.0 kJ per mole of atoms. For the volume, the calculation gives 25.2 A^3/atom.

***

The following is a DFT calculation (GGA-PBE) of an optimized crystal structure of Tm2NpPt9.

The space group is P4/mmm (No. 123) and the conventional cell measures 4.1122, 4.1122 and 12.3166 Å, with angles of 90.00, 90.00 and 90.00 degrees. The inequivalent atoms are Tm at (0.0000, 0.0000, 0.1631), Np at (0.0000, 0.0000, 0.5000), Pt at (0.0000, 0.5000, 0.0000), Pt at (0.0000, 0.5000, 0.3334), Pt at (0.5000, 0.5000, 0.1657) and Pt at (0.5000, 0.5000, 0.5000).

Its electronic total energy is -87.56 eV/cell. Its crystal system is tetragonal. The formation energy is -90.9 kJ per mole of atoms. For the volume, the calculation gives 17.4 A^3/atom.

***

The following is a DFT calculation (GGA-PBE) of an optimized crystal structure of Cd2InGe2.

The space group is I4/mmm (No. 139) and the conventional cell measures 4.0580, 4.0580 and 14.3427 Å, with angles of 90.00, 90.00 and 90.00 degrees. The inequivalent atoms are Cd at (0.0000, 0.0000, 0.1021), In at (0.0000, 0.0000, 0.5000) and Ge at (0.0000, 0.5000, 0.2500).

Its electronic total energy is -25.78 eV/cell. Its crystal system is tetragonal. The formation energy is 17.6 kJ per mole of atoms. For the volume, the calculation gives 23.6 A^3/atom.

***

The following is a DFT calculation (GGA-PBE) of an optimized crystal structure of Li2YAl.

The space group is R3m (No. 160, hexagonal axes) and the conventional cell measures 3.2862, 3.2862 and 29.6750 Å, with angles of 90.00, 90.00 and 120.00 degrees. The inequivalent atoms are Li at (0.0000, 0.0000, 0.0000), Li at (0.0000, 0.0000, 0.2506), Y at (0.0000, 0.0000, 0.7602) and Al at (0.0000, 0.0000, 0.5120).

Its electronic total energy is -41.44 eV/cell. Its crystal system is trigonal. The formation energy is 5.3 kJ per mole of atoms. For the volume, the calculation gives 23.1 A^3/atom.

***

The following is a DFT calculation (GGA-PBE) of an optimized crystal structure of BaSi2Mo.

The space group is P4mm (No. 99) and the conventional cell measures 3.4090, 3.4090 and 7.4687 Å, with angles of 90.00, 90.00 and 90.00 degrees. The inequivalent atoms are Ba at (0.0000, 0.0000, 0.0000), Si at (0.0000, 0.0000, 0.4661), Si at (0.5000, 0.5000, 0.6705) and Mo at (0.5000, 0.5000, 0.3544).

For the formation energy (no corrections), the calculation gives 0.210 eV/atom. Its electronic total energy is -22.76 eV/cell. Its crystal system is tetragonal. For the volume, the calculation gives 21.7 A^3/atom.

***

The following is a DFT calculation (GGA-PBE) of an optimized crystal structure of PaTe2O6F.

The space group is C2/c (No. 15) and the conventional cell measures 11.5361, 11.1896 and 5.3506 Å, with angles of 90.00, 107.47 and 90.00 degrees. The inequivalent atoms are Pa at (0.0000, 0.1459, 0.2500), Te at (0.2036, 0.4056, 0.0954), O at (0.0812, 0.2890, 0.0643), O at (0.1234, 0.4732, 0.7360), O at (0.1717, 0.1143, 0.4668) and F at (0.0000, 0.0636, 0.7500).

For the formation energy (no corrections), the calculation gives -1.945 eV/atom. Its electronic total energy is -267.41 eV/cell. Its crystal system is monoclinic. For the volume, the calculation gives 16.5 A^3/atom.

***

The following is a DFT calculation (GGA-PBE) of an optimized crystal structure of Os2RuBr.

The space group is Pmm2 (No. 25) and the conventional cell measures 2.7822, 3.5774 and 7.1403 Å, with angles of 90.00, 90.00 and 90.00 degrees. The inequivalent atoms are Os at (0.0000, 0.0000, 0.0000), Os at (0.5000, 0.5000, 0.1799), Ru at (0.0000, 0.0000, 0.3715) and Br at (0.5000, 0.5000, 0.6708).

For the formation energy (no corrections), the calculation gives 0.900 eV/atom. Its electronic total energy is -29.81 eV/cell. Its crystal system is orthorhombic. For the volume, the calculation gives 17.8 A^3/atom.